(1)
# TlAg2Sn

A geometry-optimized TlAg2Sn structure (GGA-PBE, Alexandria via LeMat-Bulk).

- ρ: 9.74 g/cm3
- Total magnetization: 0.00 μB per formula unit
- Energy relative to the elements: 0.486 eV/f.u.
- Uncorrected energy: -2.896 eV/atom

Cell lengths 5.065, 5.065, 5.065 Å; angles 60.00, 60.00, 60.00 degrees
Sites, in units of the cell vectors:
Tl 0.500 0.500 0.500
Sn 0.000 0.000 0.000
Ag 0.250 0.250 0.250
Ag 0.750 0.750 0.750

=====

(2)
# TlAg2Sn

A geometry-optimized TlAg2Sn structure (GGA-PBE, Alexandria via LeMat-Bulk).

- ρ: 9.69 g/cm3
- Total magnetization: 0.00 μB per formula unit
- Energy relative to the elements: 0.470 eV/f.u.
- Uncorrected energy: -2.900 eV/atom

Cell lengths 3.430, 3.430, 9.276 Å; angles 79.34, 79.34, 60.00 degrees
Sites, in units of the cell vectors:
Tl 0.500 0.500 0.500
Sn 0.000 0.000 0.000
Ag 0.747 0.747 0.758
Ag 0.253 0.253 0.242

=====

(3)
# TlAgSn3

A geometry-optimized TlAgSn3 structure (GGA-PBE, Alexandria via LeMat-Bulk).

- ρ: 7.88 g/cm3
- Total magnetization: 0.00 μB per formula unit
- Energy relative to the elements: 0.613 eV/f.u.
- Uncorrected energy: -3.323 eV/atom

Cell lengths 6.321, 7.177, 7.176 Å; angles 120.02, 90.00, 90.00 degrees
Sites, in units of the cell vectors:
Tl 0.750 0.667 0.334
Tl 0.250 0.333 0.666
Ag 0.000 0.000 0.000
Ag 0.500 0.000 0.000
Sn 0.750 0.617 0.809
Sn 0.250 0.809 0.617
Sn 0.250 0.383 0.191
Sn 0.750 0.191 0.383
Sn 0.250 0.809 0.191
Sn 0.750 0.191 0.809

=====

(4)
# TlAg2Sn

A geometry-optimized TlAg2Sn structure (GGA-PBE, Alexandria via LeMat-Bulk).

- ρ: 9.77 g/cm3
- Total magnetization: 0.00 μB per formula unit
- Energy relative to the elements: 0.484 eV/f.u.
- Uncorrected energy: -2.897 eV/atom

Cell lengths 3.430, 3.430, 9.491 Å; angles 79.00, 79.00, 57.20 degrees
Sites, in units of the cell vectors:
Tl 0.491 0.491 0.500
Ag 0.079 0.079 0.756
Ag 0.261 0.261 0.244
Sn 0.669 0.669 0.000

=====

(5)
# Tl6AgSn12

A geometry-optimized Tl6AgSn12 structure (GGA-PBE, Alexandria via LeMat-Bulk).

- ρ: 8.23 g/cm3
- Total magnetization: 0.00 μB per formula unit
- Energy relative to the elements: 1.457 eV/f.u.
- Uncorrected energy: -3.349 eV/atom

Cell lengths 8.385, 8.385, 8.385 Å; angles 100.30, 100.30, 100.30 degrees
Sites, in units of the cell vectors:
Tl 0.171 0.159 0.426
Tl 0.841 0.574 0.829
Tl 0.574 0.829 0.841
Tl 0.829 0.841 0.574
Tl 0.159 0.426 0.171
Tl 0.426 0.171 0.159
Ag 0.000 0.000 0.000
Sn 0.618 0.180 0.574
Sn 0.180 0.574 0.618
Sn 0.574 0.618 0.180
Sn 0.382 0.820 0.426
Sn 0.820 0.426 0.382
Sn 0.426 0.382 0.820
Sn 0.240 0.993 0.755
Sn 0.245 0.760 0.007
Sn 0.007 0.245 0.760
Sn 0.760 0.007 0.245
Sn 0.755 0.240 0.993
Sn 0.993 0.755 0.240

=====

(6)
# Tl2Ag3Sn5

A geometry-optimized Tl2Ag3Sn5 structure (GGA-PBE, Alexandria via LeMat-Bulk).

- ρ: 8.21 g/cm3
- Total magnetization: 0.00 μB per formula unit
- Energy relative to the elements: 0.449 eV/f.u.
- Uncorrected energy: -3.285 eV/atom

Cell lengths 6.460, 9.667, 9.667 Å; angles 82.98, 70.48, 70.48 degrees
Sites, in units of the cell vectors:
Tl 0.140 0.595 0.125
Tl 0.640 0.125 0.595
Tl 0.860 0.405 0.875
Tl 0.360 0.875 0.405
Ag 0.365 0.500 0.771
Ag 0.865 0.771 0.500
Ag 0.635 0.500 0.229
Ag 0.135 0.229 0.500
Ag 0.250 0.000 0.000
Ag 0.750 0.000 0.000
Sn 0.400 0.252 0.948
Sn 0.900 0.948 0.252
Sn 0.600 0.748 0.052
Sn 0.100 0.052 0.748
Sn 0.488 0.762 0.762
Sn 0.512 0.238 0.238
Sn 0.750 0.500 0.500
Sn 0.250 0.500 0.500
Sn 0.012 0.238 0.238
Sn 0.988 0.762 0.762